Below is AcGa2P after structural relaxation, with properties calculated at the GGA-PBE level.

Values from the calculation:
volume: 23.7 A^3/atom
ΔE_f: -1.859 eV/f.u.
E above lowest polymorph: 0 meV/atom
M_tot: 0.00 μB/cell

abc: 4.373 4.373 4.955
angles: 90.00 90.00 90.00
Atoms (fractional coordinates):
Ac 0.000 0.000 0.000
Ga 0.000 0.500 0.500
Ga 0.500 0.000 0.500
P 0.500 0.500 0.000

***

Below is Pr4CoNiCl2 after structural relaxation, with properties calculated at the GGA-PBE level.

Values from the calculation:
formation energy from raw total energies: -0.8647 eV per atom
volume: 26.7 A^3/atom
M_tot: 0.00 μB/cell

abc: 7.004 4.036 7.914
angles: 90.00 107.24 90.00
Atoms (fractional coordinates):
Pr 0.229 0.000 0.201
Pr 0.261 0.500 0.798
Pr 0.739 0.500 0.202
Pr 0.771 0.000 0.799
Co 0.000 0.500 0.000
Ni 0.500 0.000 0.000
Cl 0.000 0.000 0.500
Cl 0.500 0.500 0.500

***

Below is NbAg2H after structural relaxation, with properties calculated at the GGA-PBE level.

Values from the calculation:
volume: 16.1 A^3/atom
E above lowest polymorph: 337 meV/atom
M_tot: 0.00 μB/cell

abc: 4.500 4.500 4.500
angles: 60.00 60.00 60.00
Atoms (fractional coordinates):
Nb 0.000 0.000 0.000
Ag 0.250 0.250 0.250
Ag 0.750 0.750 0.750
H 0.500 0.500 0.500

***

Below is GdTm2Te after structural relaxation, with properties calculated at the GGA-PBE level.

Values from the calculation:
formation energy from raw total energies: -0.5246 eV per atom
volume: 28.8 A^3/atom
E above lowest polymorph: 0 meV/atom
M_tot: 7.44 μB/cell

abc: 3.830 3.830 7.840
angles: 90.00 90.00 90.00
Atoms (fractional coordinates):
Gd 0.000 0.000 0.000
Tm 0.500 0.500 0.276
Tm 0.500 0.500 0.724
Te 0.000 0.000 0.500

***

Below is Cd2SeS after structural relaxation, with properties calculated at the GGA-PBE level.

Values from the calculation:
formation energy from raw total energies: -0.0975 eV per atom
volume: 29.2 A^3/atom
E above lowest polymorph: 533 meV/atom
M_tot: 0.00 μB/cell

abc: 8.090 8.090 8.090
angles: 29.96 29.96 29.96
Atoms (fractional coordinates):
Cd 0.101 0.101 0.101
Cd 0.899 0.899 0.899
Se 0.500 0.500 0.500
S 0.000 0.000 0.000

***

Below is BeAlW2 after structural relaxation, with properties calculated at the GGA-PBE level.

Values from the calculation:
volume: 14.3 A^3/atom
ΔE_f: 0.579 eV/f.u.
M_tot: 0.00 μB/cell

abc: 4.903 4.903 2.687
angles: 97.68 97.68 113.94
Atoms (fractional coordinates):
Be 0.000 0.000 0.000
Al 0.500 0.500 0.000
W 0.000 0.500 0.500
W 0.500 0.000 0.500

***

Below is Cs2CdI2F2 after structural relaxation, with properties calculated at the GGA-PBE level.

Values from the calculation:
formation energy from raw total energies: -1.7918 eV per atom
volume: 33.6 A^3/atom
M_tot: 0.00 μB/cell

abc: 9.684 9.684 9.684
angles: 149.34 149.34 43.90
Atoms (fractional coordinates):
Cs 0.107 0.107 0.000
Cs 0.893 0.893 0.000
Cd 0.500 0.500 0.000
I 0.341 0.341 0.000
I 0.659 0.659 0.000
F 0.000 0.500 0.500
F 0.500 0.000 0.500

***

Below is PmDy6HoTm2 after structural relaxation, with properties calculated at the GGA-PBE level.

Values from the calculation:
volume: 31.9 A^3/atom
ΔE_f: 1.214 eV/f.u.
M_tot: 0.00 μB/cell

abc: 8.745 8.745 9.458
angles: 93.43 93.43 117.42
Atoms (fractional coordinates):
Pm 0.027 0.973 0.750
Pm 0.973 0.027 0.250
Dy 0.016 0.563 0.683
Dy 0.121 0.754 0.056
Dy 0.246 0.879 0.444
Dy 0.292 0.511 0.882
Dy 0.437 0.984 0.817
Dy 0.489 0.708 0.618
Dy 0.511 0.292 0.382
Dy 0.563 0.016 0.183
Dy 0.708 0.489 0.118
Dy 0.754 0.121 0.556
Dy 0.879 0.246 0.944
Dy 0.984 0.437 0.317
Ho 0.410 0.590 0.250
Ho 0.590 0.410 0.750
Tm 0.200 0.304 0.547
Tm 0.304 0.200 0.047
Tm 0.696 0.800 0.953
Tm 0.800 0.696 0.453

***

Below is NaNi2HgRh after structural relaxation, with properties calculated at the GGA-PBE level.

Values from the calculation:
volume: 23.7 A^3/atom
ΔE_f: 5.814 eV/f.u.
M_tot: 1.61 μB/cell

abc: 4.820 4.820 5.098
angles: 90.00 90.00 90.00
Atoms (fractional coordinates):
Na 0.000 0.000 0.000
Ni 0.000 0.500 0.500
Ni 0.500 0.000 0.500
Hg 0.500 0.500 0.500
Rh 0.500 0.500 0.000

***

Below is Zr7Ga2Au2 after structural relaxation, with properties calculated at the GGA-PBE level.

Values from the calculation:
volume: 22.8 A^3/atom
ΔE_f: -0.469 eV/f.u.
M_tot: 0.00 μB/cell

abc: 6.144 6.144 6.920
angles: 90.00 90.00 106.10
Atoms (fractional coordinates):
Zr 0.000 0.000 0.000
Zr 0.000 0.500 0.275
Zr 0.000 0.500 0.725
Zr 0.500 0.000 0.275
Zr 0.500 0.000 0.725
Zr 0.500 0.500 0.264
Zr 0.500 0.500 0.736
Ga 0.289 0.711 0.000
Ga 0.711 0.289 0.000
Au 0.179 0.179 0.500
Au 0.821 0.821 0.500

***

Below is RbNb2GeW after structural relaxation, with properties calculated at the GGA-PBE level.

Values from the calculation:
volume: 26.3 A^3/atom
ΔE_f: 6.172 eV/f.u.
M_tot: 2.15 μB/cell

abc: 5.078 5.078 5.094
angles: 90.00 90.00 90.00
Atoms (fractional coordinates):
Rb 0.000 0.000 0.000
Nb 0.000 0.500 0.500
Nb 0.500 0.000 0.500
Ge 0.500 0.500 0.000
W 0.500 0.500 0.500

***

Below is CeAl4Rh2 after structural relaxation, with properties calculated at the GGA-PBE level.

Values from the calculation:
volume: 17.3 A^3/atom
ΔE_f: -5.487 eV/f.u.
E above lowest polymorph: 0 meV/atom
M_tot: 1.18 μB/cell

abc: 7.418 7.418 4.407
angles: 90.00 90.00 90.00
Atoms (fractional coordinates):
Ce 0.000 0.000 0.000
Ce 0.500 0.500 0.500
Al 0.086 0.338 0.500
Al 0.162 0.586 0.000
Al 0.338 0.086 0.500
Al 0.414 0.838 0.000
Al 0.586 0.162 0.000
Al 0.662 0.914 0.500
Al 0.838 0.414 0.000
Al 0.914 0.662 0.500
Rh 0.241 0.759 0.500
Rh 0.259 0.259 0.000
Rh 0.741 0.741 0.000
Rh 0.759 0.241 0.500